1.
# SrTbIO6 (PBE-GGA, optimized geometry)
# DFT total energy in eV/f.u.: -54.790
# E_form (uncorrected) in eV per atom: -1.909
data_SrTbIO6
_cell_length_a 5.678
_cell_length_b 5.678
_cell_length_c 10.237
_cell_angle_alpha 90.00
_cell_angle_beta 90.00
_cell_angle_gamma 120.00
_space_group_name_H-M_alt 'P 1'
_space_group_IT_number 1
loop_
_space_group_symop_operation_xyz
'x,y,z'
loop_
_atom_site_label
_atom_site_type_symbol
_atom_site_fract_x
_atom_site_fract_y
_atom_site_fract_z
Sr1 Sr 0.000 0.000 0.000
Sr2 Sr 0.000 0.000 0.500
Tb1 Tb 0.333 0.667 0.250
Tb2 Tb 0.667 0.333 0.750
I1 I 0.333 0.667 0.750
I2 I 0.667 0.333 0.250
O1 O 0.050 0.396 0.644
O2 O 0.050 0.654 0.856
O3 O 0.346 0.396 0.856
O4 O 0.346 0.950 0.644
O5 O 0.396 0.050 0.144
O6 O 0.396 0.346 0.356
O7 O 0.604 0.654 0.644
O8 O 0.604 0.950 0.856
O9 O 0.654 0.050 0.356
O10 O 0.654 0.604 0.144
O11 O 0.950 0.346 0.144
O12 O 0.950 0.604 0.356

2.
# Cu2ReP (PBE-GGA, optimized geometry)
# DFT total energy in eV/f.u.: -24.844
# Formation energy in kcal/mol of atoms: 6.95
data_Cu2ReP
_cell_length_a 3.544
_cell_length_b 3.544
_cell_length_c 4.071
_cell_angle_alpha 90.00
_cell_angle_beta 90.00
_cell_angle_gamma 90.00
_space_group_name_H-M_alt 'P 1'
_space_group_IT_number 1
loop_
_space_group_symop_operation_xyz
'x,y,z'
loop_
_atom_site_label
_atom_site_type_symbol
_atom_site_fract_x
_atom_site_fract_y
_atom_site_fract_z
Cu1 Cu 0.000 0.500 0.000
Cu2 Cu 0.500 0.000 0.000
Re1 Re 0.000 0.000 0.500
P1 P 0.500 0.500 0.500

3.
# Ca3MgCd (PBE-GGA, optimized geometry)
# DFT total energy in eV/f.u.: -9.373
# Formation energy in kcal/mol of atoms: -3.96
# E above lowest polymorph in meV per atom: 0
data_Ca3MgCd
_cell_length_a 10.940
_cell_length_b 10.940
_cell_length_c 5.496
_cell_angle_alpha 90.00
_cell_angle_beta 90.00
_cell_angle_gamma 150.87
_space_group_name_H-M_alt 'P 1'
_space_group_IT_number 1
loop_
_space_group_symop_operation_xyz
'x,y,z'
loop_
_atom_site_label
_atom_site_type_symbol
_atom_site_fract_x
_atom_site_fract_y
_atom_site_fract_z
Ca1 Ca 0.066 0.934 0.750
Ca2 Ca 0.250 0.750 0.750
Ca3 Ca 0.433 0.567 0.750
Ca4 Ca 0.567 0.433 0.250
Ca5 Ca 0.750 0.250 0.250
Ca6 Ca 0.934 0.066 0.250
Mg1 Mg 0.156 0.844 0.250
Mg2 Mg 0.844 0.156 0.750
Cd1 Cd 0.343 0.657 0.250
Cd2 Cd 0.657 0.343 0.750

4.
# CaTcAgSe2 (PBE-GGA, optimized geometry)
# DFT total energy in eV/f.u.: -17.130
# E_form (uncorrected) in eV per atom: 1.012
data_CaTcAgSe2
_cell_length_a 5.378
_cell_length_b 5.378
_cell_length_c 5.354
_cell_angle_alpha 90.00
_cell_angle_beta 90.00
_cell_angle_gamma 90.00
_space_group_name_H-M_alt 'P 1'
_space_group_IT_number 1
loop_
_space_group_symop_operation_xyz
'x,y,z'
loop_
_atom_site_label
_atom_site_type_symbol
_atom_site_fract_x
_atom_site_fract_y
_atom_site_fract_z
Ca1 Ca 0.000 0.000 0.000
Tc1 Tc 0.000 0.000 0.500
Ag1 Ag 0.500 0.500 0.500
Se1 Se 0.000 0.500 0.000
Se2 Se 0.500 0.000 0.000

5.
# KUSb2O8 (PBE-GGA, optimized geometry)
# DFT total energy in eV/f.u.: -82.159
# E_form (uncorrected) in eV per atom: -1.822
data_KUSb2O8
_cell_length_a 5.975
_cell_length_b 5.975
_cell_length_c 7.538
_cell_angle_alpha 90.00
_cell_angle_beta 90.00
_cell_angle_gamma 120.00
_space_group_name_H-M_alt 'P 1'
_space_group_IT_number 1
loop_
_space_group_symop_operation_xyz
'x,y,z'
loop_
_atom_site_label
_atom_site_type_symbol
_atom_site_fract_x
_atom_site_fract_y
_atom_site_fract_z
K1 K 0.000 0.000 0.000
U1 U 0.000 0.000 0.500
Sb1 Sb 0.333 0.667 0.223
Sb2 Sb 0.667 0.333 0.777
O1 O 0.164 0.328 0.327
O2 O 0.164 0.836 0.327
O3 O 0.328 0.164 0.673
O4 O 0.333 0.667 0.977
O5 O 0.667 0.333 0.023
O6 O 0.672 0.836 0.327
O7 O 0.836 0.164 0.673
O8 O 0.836 0.672 0.673

6.
# Hf2ZnHgSb (PBE-GGA, optimized geometry)
# DFT total energy in eV/f.u.: -22.199
# E_form (uncorrected) in eV per atom: 0.681
data_Hf2ZnHgSb
_cell_length_a 5.011
_cell_length_b 5.011
_cell_length_c 4.971
_cell_angle_alpha 90.00
_cell_angle_beta 90.00
_cell_angle_gamma 90.00
_space_group_name_H-M_alt 'P 1'
_space_group_IT_number 1
loop_
_space_group_symop_operation_xyz
'x,y,z'
loop_
_atom_site_label
_atom_site_type_symbol
_atom_site_fract_x
_atom_site_fract_y
_atom_site_fract_z
Hf1 Hf 0.000 0.500 0.000
Hf2 Hf 0.500 0.000 0.000
Zn1 Zn 0.000 0.000 0.000
Hg1 Hg 0.500 0.500 0.500
Sb1 Sb 0.000 0.000 0.500

Question: Among the records above, which one has the lowest DFT total energy?
Answer: KUSb2O8